[1]
A plane-wave DFT calculation with PBE-GGA was carried out for crystalline KTcAsSe2 at its relaxed geometry.

```
5
Lattice="-5.124 -0.208 0.980 0.598 -5.150 2.034 0.830 1.977 4.761" Properties=species:S:1:pos:R:3 pbc="T T T"
Tc -1.848 -1.691 3.887
As 0.000 0.000 0.000
K 0.299 -2.575 1.017
Se 0.415 0.988 2.380
Se -2.562 -0.104 0.490
```

## Properties
**Raw formation energy**: 1.044 eV per atom
**VASP energy**: -3.57 eV per atom

=====

[2]
A plane-wave DFT calculation with PBE-GGA was carried out for crystalline OsRuN at its relaxed geometry.

```
12
Lattice="-0.332 -4.928 1.535 2.375 -0.560 -1.284 5.399 5.556 7.560" Properties=species:S:1:pos:R:3 pbc="T T T"
Os 3.392 3.216 4.870
Os 1.880 0.158 0.448
Os 4.009 -0.186 4.533
Os 0.122 -2.684 1.395
Ru 5.608 2.553 6.297
Ru 2.853 -2.693 3.490
Ru 4.365 0.365 7.912
Ru 1.721 0.055 3.159
N 1.137 -1.825 2.898
N 5.024 0.673 6.036
N 0.145 -0.808 0.620
N 4.032 1.690 3.758
```

## Properties
**Raw formation energy**: 0.437 eV per atom
**VASP energy**: -9.17 eV per atom